Computed, not measured: a relaxed SmHo6Er2Sc crystal at the GGA-PBE level of DFT.

The space group is C2/c (No. 15) and the conventional cell measures 9.0367, 14.7783 and 9.3131 Å, with angles of 90.00, 96.51 and 90.00 degrees. The distinct sites, in fractional coordinates, are Sm at (0.0000, 0.0251, 0.2500), Ho at (0.0596, 0.1854, 0.9442), Ho at (0.0988, 0.3908, 0.1144), Ho at (0.2172, 0.2218, 0.3117), Er at (0.2449, 0.4479, 0.4508) and Sc at (0.0000, 0.4144, 0.7500).

Computed, not measured: a relaxed Sm6Ho3Er2Sc crystal at the GGA-PBE level of DFT.

The space group is C2/m (No. 12) and the conventional cell measures 6.1691, 10.6795 and 11.6731 Å, with angles of 90.00, 100.10 and 90.00 degrees. The distinct sites, in fractional coordinates, are Sm at (0.2476, 0.1654, 0.2472), Sm at (0.2486, 0.0000, 0.7528), Ho at (0.0000, 0.1666, 0.5000), Ho at (0.0000, 0.5000, 0.5000), Er at (0.0000, 0.3333, 0.0000) and Sc at (0.0000, 0.0000, 0.0000).

no.,raw total energy (eV per atom)
1,-4.6353
2,-4.7669